A plane-wave DFT calculation with PBE was carried out for a relaxed structure of LaMn2Br.

Properties
As for the total energy: -24.353 eV for the cell shown. Its energy above the most stable polymorph in this dataset is 0.223 eV/atom. Its mass density is 6.0 Mg/m³. The crystal system is monoclinic. For the density of states at the Fermi level, the calculation gives 3.40 states/eV per cell.

```
data_LaMn2Br
_cell_length_a 3.6434
_cell_length_b 4.8170
_cell_length_c 5.2165
_cell_angle_alpha 90.00
_cell_angle_beta 93.26
_cell_angle_gamma 90.00
_symmetry_space_group_name_H-M 'P 1 2/m 1'
_symmetry_Int_Tables_number 10
loop_
_symmetry_equiv_pos_as_xyz
'x,y,z'
'-x,-y,-z'
'-x,y,-z'
'x,-y,z'
loop_
_atom_site_label
_atom_site_fract_x
_atom_site_fract_y
_atom_site_fract_z
La1 0.0000 0.0000 0.0000
Mn1 0.4475 0.5000 0.7564
Br1 0.5000 0.0000 0.5000
```

A plane-wave DFT calculation with PBE was carried out for a relaxed structure of Pr2Ga5Cu3.

Properties
As for the total energy: -41.686 eV for the cell shown. Its energy above the most stable polymorph in this dataset is 0.030 eV/atom. Its mass density is 7.3 Mg/m³. The crystal system is tetragonal. For the density of states at the Fermi level, the calculation gives 4.57 states/eV per cell. The value obtained for the formation energy is -0.47 eV per atom.

```
data_Pr2Ga5Cu3
_cell_length_a 4.2477
_cell_length_b 4.2477
_cell_length_c 10.3781
_cell_angle_alpha 90.00
_cell_angle_beta 90.00
_cell_angle_gamma 90.00
_symmetry_space_group_name_H-M 'P -4 m 2'
_symmetry_Int_Tables_number 115
loop_
_symmetry_equiv_pos_as_xyz
'x,y,z'
'y,-x,-z'
'-x,-y,z'
'-y,x,-z'
'-x,y,z'
'-y,-x,-z'
'x,-y,z'
'y,x,-z'
loop_
_atom_site_label
_atom_site_fract_x
_atom_site_fract_y
_atom_site_fract_z
Pr1 0.0000 0.5000 0.2432
Ga1 0.0000 0.0000 0.5000
Ga2 0.0000 0.5000 0.6369
Ga3 0.0000 0.5000 0.8803
Cu1 0.0000 0.0000 0.0000
Cu2 0.5000 0.5000 0.0000
Cu3 0.5000 0.5000 0.5000
```